Entry 1:
KNa3Pb | SCAN | PBEsol geometry

Cell lengths 6.0046, 6.0046, 6.0046 Å; angles 90.00, 90.00, 90.00 degrees
With the nearest neighbours (Å) after each atom.
Element x y z (fractional)
Pb1 0.0000 0.0000 0.0000  6 Na 3.00
Na1 0.0000 0.5000 0.0000  2 Pb 3.00
Na2 0.0000 0.0000 0.5000  2 Pb 3.00
Na3 0.5000 0.0000 0.0000  2 Pb 3.00
K1 0.5000 0.5000 0.5000  12 Na 4.25

Results
As for the density of states at the Fermi level: 1.6 states/eV/cell. As for the total energy: -97.47 eV per cell. The calculation puts the formation enthalpy at 0 K at -0.1427 eV per atom. Its crystal system is cubic.

Entry 2:
CaMnIrPt2 | SCAN | PBEsol geometry

Cell lengths 4.6599, 4.7766, 4.7766 Å; angles 90.00, 90.00, 90.00 degrees
With the nearest neighbours (Å) after each atom.
Element x y z (fractional)
Mn1 0.5000 0.5000 0.5000  8 Pt 3.34, 4 Ir 3.38
Ca1 0.0000 0.0000 0.0000  2 Ir 2.33, 4 Pt 2.39
Ir1 0.5000 0.0000 0.0000  2 Ca 2.33
Pt1 0.0000 0.0000 0.5000  2 Ca 2.39
Pt2 0.0000 0.5000 0.0000  2 Ca 2.39

Results
As for the density of states at the Fermi level: 3.0 states/eV/cell. As for the total energy: -231.44 eV per cell. The calculation puts the formation enthalpy at 0 K at 1.5921 eV per atom. Its crystal system is tetragonal.

Entry 3:
MoBr | SCAN | PBEsol geometry

Cell lengths 3.1425, 6.6031, 7.0320 Å; angles 107.33, 102.91, 90.00 degrees
With the nearest neighbours (Å) after each atom.
Element x y z (fractional)
Br1 0.0509 0.1940 0.1017  4 Mo 2.61-2.82
Br2 0.3553 0.5853 0.7107  4 Mo 2.63-2.81
Br3 0.6386 0.7186 0.2772  3 Mo 2.67-2.70
Mo1 0.7041 0.3771 0.4081  3 Mo 2.56-2.72, 5 Br 2.61-2.67
Mo2 0.8576 0.2343 0.7152  3 Mo 2.40-2.56
Mo3 0.2269 0.0575 0.4537  2 Mo 2.40

Results
As for the density of states at the Fermi level: 1.3 states/eV/cell. As for the total energy: -162.69 eV per cell. Its distance to the lowest polymorph of the same formula is 0.0000 eV per atom. The calculation puts the uncorrected formation energy at 0.058 eV/atom. Its crystal system is monoclinic.

Entry 4:
Sc3V2Si3 | SCAN | PBEsol geometry

Cell lengths 5.1109, 7.5713, 7.5713 Å; angles 120.00, 90.00, 90.00 degrees
With the nearest neighbours (Å) after each atom.
Element x y z (fractional)
Sc1 0.7500 0.0000 0.7572  5 Si 2.64-2.84
Sc2 0.2500 0.0000 0.2428  5 Si 2.64-2.84
Sc3 0.7500 0.7572 0.0000  5 Si 2.64-2.84
Sc4 0.2500 0.2428 0.0000  5 Si 2.64-2.84
Sc5 0.7500 0.2428 0.2428  5 Si 2.64-2.84
Sc6 0.2500 0.7572 0.7572  5 Si 2.64-2.84
V1 0.0000 0.3333 0.6667  2 V 2.56, 6 Si 2.63
V2 0.0000 0.6667 0.3333  2 V 2.56, 6 Si 2.63
V3 0.5000 0.6667 0.3333  2 V 2.56, 6 Si 2.63
V4 0.5000 0.3333 0.6667  2 V 2.56, 6 Si 2.63
Si1 0.7500 0.0000 0.4079  4 V 2.63, 5 Sc 2.64-2.84, 2 Si 2.91
Si2 0.2500 0.0000 0.5921  4 V 2.63, 5 Sc 2.64-2.84, 2 Si 2.91
Si3 0.7500 0.4079 0.0000  4 V 2.63, 5 Sc 2.64-2.84, 2 Si 2.91
Si4 0.2500 0.5921 0.0000  4 V 2.63, 5 Sc 2.64-2.84, 2 Si 2.91
Si5 0.7500 0.5921 0.5921  4 V 2.63, 5 Sc 2.64-2.84, 2 Si 2.91
Si6 0.2500 0.4079 0.4079  4 V 2.63, 5 Sc 2.64-2.84, 2 Si 2.91

Results
As for the density of states at the Fermi level: 9.9 states/eV/cell. As for the total energy: -226.53 eV per cell. The calculation puts the uncorrected formation energy at -0.692 eV/atom. Its crystal system is hexagonal.

Entry 5:
Pb3CO | SCAN | PBEsol geometry

Cell lengths 4.8282, 4.8282, 4.8282 Å; angles 90.00, 90.00, 90.00 degrees
With the nearest neighbours (Å) after each atom.
Element x y z (fractional)
Pb1 0.0000 0.5000 0.0000  2 O 2.41
Pb2 0.0000 0.0000 0.5000  2 O 2.41
Pb3 0.5000 0.0000 0.0000  2 O 2.41
C1 0.5000 0.5000 0.5000  12 Pb 3.41
O1 0.0000 0.0000 0.0000  6 Pb 2.41

Results
As for the density of states at the Fermi level: 1.9 states/eV/cell. As for the total energy: -238.97 eV per cell. The calculation puts the uncorrected formation energy at 0.941 eV/atom. Its crystal system is cubic.

Entry 6:
AlSbTe2 | SCAN | PBEsol geometry

Cell lengths 4.0552, 4.0552, 7.8898 Å; angles 75.11, 75.11, 60.00 degrees
With the nearest neighbours (Å) after each atom.
Element x y z (fractional)
Sb1 0.0000 0.0000 0.0000  6 Te 3.16
Te1 0.2397 0.2397 0.2809  3 Al 2.86, 3 Sb 3.16
Te2 0.7603 0.7603 0.7191  3 Al 2.86, 3 Sb 3.16
Al1 0.5000 0.5000 0.5000  6 Te 2.86

Results
As for the density of states at the Fermi level: 1.6 states/eV/cell. As for the total energy: -119.79 eV per cell. Its distance to the lowest polymorph of the same formula is 0.0000 eV per atom. The calculation puts the uncorrected formation energy at -0.069 eV/atom. Its crystal system is trigonal.

Entry 7:
HgIr2C | SCAN | PBEsol geometry

Cell lengths 5.3607, 5.3607, 5.3607 Å; angles 106.91, 106.91, 114.72 degrees
With the nearest neighbours (Å) after each atom.
Element x y z (fractional)
C1 0.7500 0.2500 0.5000  4 Ir 1.96
C2 0.5000 0.5000 0.0000  4 Ir 1.96
Ir1 0.7626 0.8750 0.3876  2 C 1.96
Ir2 0.4874 0.3750 0.6124  2 C 1.96
Ir3 0.6250 0.2374 0.1124  2 C 1.96
Ir4 0.1250 0.5126 0.8876  2 C 1.96
Hg1 0.2500 0.7500 0.5000  8 Ir 2.83-2.90, 2 C 2.89
Hg2 0.0000 0.0000 0.0000  8 Ir 2.83-2.90, 2 C 2.89

Results
As for the density of states at the Fermi level: 1.9 states/eV/cell. As for the total energy: -436.23 eV per cell. Its distance to the lowest polymorph of the same formula is 0.0000 eV per atom. The calculation puts the formation enthalpy at 0 K at 0.5874 eV per atom. Its crystal system is tetragonal.

Entry 8:
LaTcPO2 | SCAN | PBEsol geometry

Cell lengths 3.9699, 3.9699, 4.7553 Å; angles 90.00, 90.00, 90.00 degrees
With the nearest neighbours (Å) after each atom.
Element x y z (fractional)
P1 0.0000 0.0000 0.5000  2 Tc 2.38
Tc1 0.0000 0.0000 0.0000  4 O 1.98
O1 0.0000 0.5000 0.0000  2 Tc 1.98
O2 0.5000 0.0000 0.0000  2 Tc 1.98
La1 0.5000 0.5000 0.5000  4 P 2.81, 8 O 3.10

Results
As for the density of states at the Fermi level: 3.7 states/eV/cell. As for the total energy: -108.71 eV per cell. The calculation puts the uncorrected formation energy at -1.537 eV/atom. Its crystal system is tetragonal.